# PBE Tm6Al2Ga, optimized geometry
# E above lowest polymorph	0.208	eV per atom
# total moment	0.000	μB per atom
# DFT formation energy	-0.095	eV per atom
# volume	28.7	Å³ per atom
# crystal system	orthorhombic
data_Tm6Al2Ga
_chemical_formula_sum 'Tm12 Al4 Ga2'
_space_group_name_H-M_alt 'I m m m'
_space_group_IT_number 71
_space_group_name_Hall '-I 2 2'
_cell_length_a 4.9595
_cell_length_b 7.0155
_cell_length_c 14.8557
_cell_angle_alpha 90.00
_cell_angle_beta 90.00
_cell_angle_gamma 90.00
loop_
_atom_site_label
_atom_site_fract_x
_atom_site_fract_y
_atom_site_fract_z
_atom_site_occupancy
Tm1 0.0000 0.2470 0.0000 1
Tm2 0.0000 0.2512 0.3345 1
Al1 0.0000 0.5000 0.1661 1
Ga1 0.0000 0.5000 0.5000 1

=====

# PBE KAgPt2, optimized geometry
# total moment	0.000	μB per atom
# DFT formation energy	0.159	eV per atom
# volume	20.8	Å³ per atom
# crystal system	orthorhombic
data_KAgPt2
_chemical_formula_sum 'K2 Ag2 Pt4'
_space_group_name_H-M_alt 'I m m 2'
_space_group_IT_number 44
_cell_length_a 2.7886
_cell_length_b 5.3681
_cell_length_c 11.1008
_cell_angle_alpha 90.00
_cell_angle_beta 90.00
_cell_angle_gamma 90.00
loop_
_space_group_symop_operation_xyz
'x,y,z'
'-x,-y,z'
'-x,y,z'
'x,-y,z'
'x+1/2,y+1/2,z+1/2'
'-x+1/2,-y+1/2,z+1/2'
'-x+1/2,y+1/2,z+1/2'
'x+1/2,-y+1/2,z+1/2'
loop_
_atom_site_label
_atom_site_fract_x
_atom_site_fract_y
_atom_site_fract_z
_atom_site_occupancy
K1 0.0000 0.0000 0.0000 1
Ag1 0.0000 0.5000 0.7924 1
Pt1 0.0000 0.0000 0.5144 1
Pt2 0.0000 0.5000 0.2167 1